Entry 1:
La2Tm4Cd | PBE | optimized geometry Values from VASP.

Values from the calculation:
- Total magnetization: 0.0 μB per formula unit
- Space group: P2_1/m, No. 11

```
&SYSTEM
  ibrav = 0, nat = 14, ntyp = 3
/
ATOMIC_SPECIES
La 138.91 La.upf
Tm 168.93 Tm.upf
Cd 112.41 Cd.upf
CELL_PARAMETERS angstrom
6.014 0.000 -0.430
0.000 6.562 0.000
-2.455 0.000 11.187
ATOMIC_POSITIONS crystal
La 0.608 0.750 0.015
La 0.392 0.250 0.985
La 0.281 0.250 0.434
La 0.719 0.750 0.566
Tm 0.635 0.493 0.287
Tm 0.012 0.750 0.870
Tm 0.988 0.250 0.130
Tm 0.635 0.007 0.287
Tm 0.864 0.250 0.572
Tm 0.365 0.993 0.713
Tm 0.365 0.507 0.713
Tm 0.136 0.750 0.428
Cd 0.173 0.750 0.162
Cd 0.827 0.250 0.838
```

---

Entry 2:
LaTmCd4 | PBE | optimized geometry Values from VASP.

Values from the calculation:
- Total magnetization: 0.0 μB per formula unit
- Space group: F-43m, No. 216
- E above lowest polymorph: 0.054 eV/atom

```
&SYSTEM
  ibrav = 0, nat = 6, ntyp = 3
/
ATOMIC_SPECIES
Cd 112.41 Cd.upf
Tm 168.93 Tm.upf
La 138.91 La.upf
CELL_PARAMETERS angstrom
-5.746 -1.260 -1.063
-3.275 -2.763 4.168
-4.299 2.986 2.888
ATOMIC_POSITIONS crystal
Cd 0.625 0.625 0.124
Cd 0.625 0.124 0.625
Cd 0.625 0.625 0.625
Cd 0.124 0.625 0.625
Tm 0.000 0.000 0.000
La 0.250 0.250 0.250
```

---

Entry 3:
La8TmCd2 | PBE | optimized geometry Values from VASP.

Values from the calculation:
- Total magnetization: 0.0 μB per formula unit
- Space group: C2/m, No. 12

```
&SYSTEM
  ibrav = 0, nat = 11, ntyp = 3
/
ATOMIC_SPECIES
Cd 112.41 Cd.upf
Tm 168.93 Tm.upf
La 138.91 La.upf
CELL_PARAMETERS angstrom
-2.234 -1.028 -4.822
5.279 -6.658 -1.026
-6.399 -1.650 6.354
ATOMIC_POSITIONS crystal
Cd 0.221 0.634 0.442
Cd 0.779 0.366 0.558
Tm 0.500 0.000 0.000
La 0.602 0.467 0.205
La 0.313 0.048 0.625
La 0.145 0.201 0.290
La 0.050 0.741 0.099
La 0.855 0.799 0.710
La 0.687 0.952 0.375
La 0.398 0.533 0.795
La 0.950 0.259 0.901
```

---

Entry 4:
La8Tm6Cd | PBE | optimized geometry Values from VASP.

Values from the calculation:
- Total magnetization: 0.0 μB per formula unit
- Space group: P-3, No. 147

```
&SYSTEM
  ibrav = 0, nat = 15, ntyp = 3
/
ATOMIC_SPECIES
La 138.91 La.upf
Tm 168.93 Tm.upf
Cd 112.41 Cd.upf
CELL_PARAMETERS angstrom
-0.972 -5.938 2.804
0.128 -4.000 -8.427
7.927 0.978 4.820
ATOMIC_POSITIONS crystal
La 0.826 0.049 0.282
La 0.826 0.718 0.767
La 0.826 0.233 0.951
La 0.174 0.951 0.718
La 0.174 0.282 0.233
La 0.174 0.767 0.049
La 0.866 0.333 0.667
La 0.134 0.667 0.333
Tm 0.656 0.655 0.103
Tm 0.656 0.897 0.553
Tm 0.656 0.447 0.345
Tm 0.344 0.345 0.897
Tm 0.344 0.103 0.447
Tm 0.344 0.553 0.655
Cd 0.500 0.000 0.000
```

---

Entry 5:
LaTm8Cd6 | PBE | optimized geometry Values from VASP.

Values from the calculation:
- Total magnetization: 0.0 μB per formula unit
- Space group: R-3, No. 148

```
&SYSTEM
  ibrav = 0, nat = 15, ntyp = 3
/
ATOMIC_SPECIES
La 138.91 La.upf
Tm 168.93 Tm.upf
Cd 112.41 Cd.upf
CELL_PARAMETERS angstrom
-1.022 -1.595 8.762
1.360 -8.246 3.244
6.193 -1.899 4.963
ATOMIC_POSITIONS crystal
La 0.000 0.000 0.000
Tm 0.557 0.214 0.348
Tm 0.786 0.119 0.652
Tm 0.119 0.443 0.652
Tm 0.668 0.668 0.995
Tm 0.332 0.332 0.005
Tm 0.881 0.557 0.348
Tm 0.214 0.881 0.348
Tm 0.443 0.786 0.652
Cd 0.398 0.054 0.839
Cd 0.946 0.291 0.161
Cd 0.291 0.602 0.161
Cd 0.709 0.398 0.839
Cd 0.054 0.709 0.839
Cd 0.602 0.946 0.161
```

---

Entry 6:
La6TmCd2 | PBE | optimized geometry Values from VASP.

Values from the calculation:
- Total magnetization: 0.0 μB per formula unit
- Space group: C2/m, No. 12

```
&SYSTEM
  ibrav = 0, nat = 9, ntyp = 3
/
ATOMIC_SPECIES
La 138.91 La.upf
Tm 168.93 Tm.upf
Cd 112.41 Cd.upf
CELL_PARAMETERS angstrom
3.880 0.000 0.000
1.940 6.583 0.545
1.940 1.730 11.860
ATOMIC_POSITIONS crystal
La 0.681 0.514 0.123
La 0.319 0.486 0.877
La 0.308 0.790 0.593
La 0.978 0.709 0.336
La 0.022 0.291 0.664
La 0.692 0.210 0.407
Tm 0.000 0.000 0.000
Cd 0.361 0.089 0.189
Cd 0.639 0.911 0.811
```

---

The total DFT energy (no corrections) results, record by record, are as follows: -4.05; -2.45; -4.24; -4.38; -3.12; -4.12 eV per atom.
The calculated formation energy results, record by record, are as follows: 0.04; -0.27; -0.08; 0.10; -0.04; -0.13 eV/atom.